No. 1
Compound: AlReP
Source: Alexandria
Functional: PBE
Structure: relaxed

Cell: 4.033 4.033 3.181 Å, 90.00 90.00 120.00°
Sites, in units of the cell vectors:
Al (0.000, 0.000, 0.000)
P (0.667, 0.333, 0.500)
Re (0.333, 0.667, 0.500)

Distance to the lowest polymorph of the same formula in kJ/mol of formula units: 54.8
DFT formation energy in eV/atom: -0.05
SG: P-6m2 (187)

No. 2
Compound: AlOsBr
Source: Alexandria
Functional: PBE
Structure: relaxed

Cell: 6.255 6.255 6.255 Å, 151.48 151.48 40.78°
Sites, in units of the cell vectors:
Br (0.317, 0.317, 0.000)
Os (0.646, 0.646, 0.000)
Al (0.037, 0.037, 0.000)

Formation energy (no corrections) in eV/atom: 0.536
Distance to the lowest polymorph of the same formula in kJ/mol of formula units: 56.4
SG: I4mm (107)

> Among the records above, which one has the lowest distance to the lowest polymorph of the same formula?

AlReP